Entry 1:
A plane-wave DFT calculation with SCAN was carried out for a PBEsol-optimized structure of SrCoRh.

## Properties
- DFT formation energy: 1.25 eV per atom
- VASP energy: -23.2032 eV per atom

```
data_SrCoRh
_chemical_formula_sum 'Sr4 Co4 Rh4'
_space_group_name_H-M_alt 'F -4 3 m'
_space_group_IT_number 216
_space_group_name_Hall 'F -4 2 3'
_cell_length_a 6.303
_cell_length_b 6.303
_cell_length_c 6.303
_cell_angle_alpha 90.00
_cell_angle_beta 90.00
_cell_angle_gamma 90.00
loop_
_atom_site_label
_atom_site_fract_x
_atom_site_fract_y
_atom_site_fract_z
Sr1 0.000 0.000 0.000
Co1 0.250 0.250 0.750
Rh1 0.250 0.250 0.250
```


Entry 2:
A plane-wave DFT calculation with SCAN was carried out for a PBEsol-optimized structure of Sr2YCoRh.

## Properties
- DFT formation energy: 1.30 eV per atom
- VASP energy: -23.3979 eV per atom

```
data_Sr2YCoRh
_chemical_formula_sum 'Sr2 Y1 Co1 Rh1'
_space_group_name_H-M_alt 'P 4/m m m'
_space_group_IT_number 123
_space_group_name_Hall '-P 4 2'
_cell_length_a 5.981
_cell_length_b 5.981
_cell_length_c 4.231
_cell_angle_alpha 90.00
_cell_angle_beta 90.00
_cell_angle_gamma 90.00
loop_
_atom_site_label
_atom_site_fract_x
_atom_site_fract_y
_atom_site_fract_z
Sr1 0.000 0.500 0.000
Y1 0.000 0.000 0.000
Co1 0.000 0.000 0.500
Rh1 0.500 0.500 0.500
```


Entry 3:
A plane-wave DFT calculation with SCAN was carried out for a PBEsol-optimized structure of TaCoRh.

## Properties
- DFT formation energy: -0.15 eV per atom
- VASP energy: -39.3683 eV per atom

```
data_TaCoRh
_chemical_formula_sum 'Ta2 Co2 Rh2'
_space_group_name_H-M_alt 'I 4 m m'
_space_group_IT_number 107
_space_group_name_Hall 'I 4 -2'
_cell_length_a 2.750
_cell_length_b 2.750
_cell_length_c 10.861
_cell_angle_alpha 90.00
_cell_angle_beta 90.00
_cell_angle_gamma 90.00
loop_
_atom_site_label
_atom_site_fract_x
_atom_site_fract_y
_atom_site_fract_z
Ta1 0.000 0.000 0.000
Co1 0.000 0.000 0.665
Rh1 0.000 0.000 0.319
```


Entry 4:
A plane-wave DFT calculation with SCAN was carried out for a PBEsol-optimized structure of TaCo3Rh.

## Properties
- DFT formation energy: 1.61 eV per atom
- VASP energy: -28.8395 eV per atom

```
data_TaCo3Rh
_chemical_formula_sum 'Ta1 Co3 Rh1'
_space_group_name_H-M_alt 'P m -3 m'
_space_group_IT_number 221
_space_group_name_Hall '-P 4 2 3'
_cell_length_a 4.308
_cell_length_b 4.308
_cell_length_c 4.308
_cell_angle_alpha 90.00
_cell_angle_beta 90.00
_cell_angle_gamma 90.00
loop_
_atom_site_label
_atom_site_fract_x
_atom_site_fract_y
_atom_site_fract_z
Ta1 0.000 0.000 0.000
Co1 0.000 0.000 0.500
Rh1 0.500 0.500 0.500
```


Entry 5:
A plane-wave DFT calculation with SCAN was carried out for a PBEsol-optimized structure of CoTeRh.

## Properties
- VASP energy: -29.3443 eV per atom
- Formation energy (no corrections): 98 meV per atom

```
data_CoTeRh
_chemical_formula_sum 'Co2 Te2 Rh2'
_space_group_name_H-M_alt 'I 4 m m'
_space_group_IT_number 107
_space_group_name_Hall 'I 4 -2'
_cell_length_a 3.464
_cell_length_b 3.464
_cell_length_c 7.620
_cell_angle_alpha 90.00
_cell_angle_beta 90.00
_cell_angle_gamma 90.00
loop_
_atom_site_label
_atom_site_fract_x
_atom_site_fract_y
_atom_site_fract_z
Co1 0.000 0.000 0.000
Te1 0.000 0.000 0.677
Rh1 0.000 0.000 0.343
```


Entry 6:
A plane-wave DFT calculation with SCAN was carried out for a PBEsol-optimized structure of Ti2Co2Rh.

## Properties
- DFT formation energy: -0.38 eV per atom
- VASP energy: -20.4693 eV per atom

```
data_Ti2Co2Rh
_chemical_formula_sum 'Ti4 Co4 Rh2'
_space_group_name_H-M_alt 'P 4/m b m'
_space_group_IT_number 127
_space_group_name_Hall '-P 4 2ab'
_cell_length_a 6.550
_cell_length_b 6.550
_cell_length_c 2.988
_cell_angle_alpha 90.00
_cell_angle_beta 90.00
_cell_angle_gamma 90.00
loop_
_atom_site_label
_atom_site_fract_x
_atom_site_fract_y
_atom_site_fract_z
Ti1 0.179 0.321 0.000
Co1 0.123 0.623 0.500
Rh1 0.000 0.000 0.500
```


Entry 7:
A plane-wave DFT calculation with SCAN was carried out for a PBEsol-optimized structure of TlCo2Rh.

## Properties
- DFT formation energy: 0.35 eV per atom
- VASP energy: -34.8325 eV per atom

```
data_TlCo2Rh
_chemical_formula_sum 'Tl4 Co8 Rh4'
_space_group_name_H-M_alt 'F -4 3 m'
_space_group_IT_number 216
_space_group_name_Hall 'F -4 2 3'
_cell_length_a 6.072
_cell_length_b 6.072
_cell_length_c 6.072
_cell_angle_alpha 90.00
_cell_angle_beta 90.00
_cell_angle_gamma 90.00
loop_
_atom_site_label
_atom_site_fract_x
_atom_site_fract_y
_atom_site_fract_z
Tl1 0.000 0.000 0.000
Co1 0.000 0.000 0.500
Co2 0.250 0.250 0.750
Rh1 0.250 0.250 0.250
```


Entry 8:
A plane-wave DFT calculation with SCAN was carried out for a PBEsol-optimized structure of TlCoRh2.

## Properties
- DFT formation energy: 0.19 eV per atom
- VASP energy: -39.1126 eV per atom

```
data_TlCoRh2
_chemical_formula_sum 'Tl2 Co2 Rh4'
_space_group_name_H-M_alt 'I 4/m m m'
_space_group_IT_number 139
_space_group_name_Hall '-I 4 2'
_cell_length_a 3.975
_cell_length_b 3.975
_cell_length_c 7.408
_cell_angle_alpha 90.00
_cell_angle_beta 90.00
_cell_angle_gamma 90.00
loop_
_atom_site_label
_atom_site_fract_x
_atom_site_fract_y
_atom_site_fract_z
Tl1 0.000 0.000 0.000
Co1 0.000 0.000 0.500
Rh1 0.000 0.500 0.250
```


Entry 9:
A plane-wave DFT calculation with SCAN was carried out for a PBEsol-optimized structure of TlCoRh2.

## Properties
- DFT formation energy: 0.32 eV per atom
- VASP energy: -38.9831 eV per atom

```
data_TlCoRh2
_chemical_formula_sum 'Tl2 Co2 Rh4'
_space_group_name_H-M_alt 'C 1 2/m 1'
_space_group_IT_number 12
_space_group_name_Hall '-C 2y'
_cell_length_a 5.414
_cell_length_b 9.018
_cell_length_c 2.785
_cell_angle_alpha 90.00
_cell_angle_beta 118.66
_cell_angle_gamma 90.00
loop_
_atom_site_label
_atom_site_fract_x
_atom_site_fract_y
_atom_site_fract_z
Tl1 0.000 0.000 0.000
Co1 0.000 0.500 0.000
Rh1 0.250 0.250 0.500
```


Entry 10:
A plane-wave DFT calculation with SCAN was carried out for a PBEsol-optimized structure of TlCo2Rh.

## Properties
- DFT formation energy: 0.31 eV per atom
- VASP energy: -34.8752 eV per atom

```
data_TlCo2Rh
_chemical_formula_sum 'Tl2 Co4 Rh2'
_space_group_name_H-M_alt 'I -4 m 2'
_space_group_IT_number 119
_space_group_name_Hall 'I -4 -2'
_cell_length_a 3.819
_cell_length_b 3.819
_cell_length_c 7.584
_cell_angle_alpha 90.00
_cell_angle_beta 90.00
_cell_angle_gamma 90.00
loop_
_atom_site_label
_atom_site_fract_x
_atom_site_fract_y
_atom_site_fract_z
Tl1 0.000 0.000 0.000
Co1 0.000 0.000 0.500
Co2 0.000 0.500 0.250
Rh1 0.000 0.500 0.750
```


Entry 11:
A plane-wave DFT calculation with SCAN was carried out for a PBEsol-optimized structure of TlCoRh2.

## Properties
- DFT formation energy: 0.27 eV per atom
- VASP energy: -39.0305 eV per atom

```
data_TlCoRh2
_chemical_formula_sum 'Tl4 Co4 Rh8'
_space_group_name_H-M_alt 'F -4 3 m'
_space_group_IT_number 216
_space_group_name_Hall 'F -4 2 3'
_cell_length_a 6.180
_cell_length_b 6.180
_cell_length_c 6.180
_cell_angle_alpha 90.00
_cell_angle_beta 90.00
_cell_angle_gamma 90.00
loop_
_atom_site_label
_atom_site_fract_x
_atom_site_fract_y
_atom_site_fract_z
Tl1 0.000 0.000 0.000
Co1 0.250 0.250 0.250
Rh1 0.000 0.000 0.500
Rh2 0.250 0.250 0.750
```


Entry 12:
A plane-wave DFT calculation with SCAN was carried out for a PBEsol-optimized structure of TlCo2Rh.

## Properties
- DFT formation energy: 0.42 eV per atom
- VASP energy: -34.7671 eV per atom

```
data_TlCo2Rh
_chemical_formula_sum 'Tl2 Co4 Rh2'
_space_group_name_H-M_alt 'I 4/m m m'
_space_group_IT_number 139
_space_group_name_Hall '-I 4 2'
_cell_length_a 3.817
_cell_length_b 3.817
_cell_length_c 7.570
_cell_angle_alpha 90.00
_cell_angle_beta 90.00
_cell_angle_gamma 90.00
loop_
_atom_site_label
_atom_site_fract_x
_atom_site_fract_y
_atom_site_fract_z
Tl1 0.000 0.000 0.000
Co1 0.000 0.500 0.250
Rh1 0.000 0.000 0.500
```


Number 1: size of the total moment 7.66 Bohr magnetons per cell. Number 2: size of the total moment 0.56 Bohr magnetons per cell. Number 3: size of the total moment 3.04 Bohr magnetons per cell. Number 4: size of the total moment 3.65 Bohr magnetons per cell. Number 5: size of the total moment 3.05 Bohr magnetons per cell. Number 6: size of the total moment 2.13 Bohr magnetons per cell. Number 7: size of the total moment 15.22 Bohr magnetons per cell. Number 8: size of the total moment 6.00 Bohr magnetons per cell. Number 9: size of the total moment 4.88 Bohr magnetons per cell. Number 10: size of the total moment 7.78 Bohr magnetons per cell. Number 11: size of the total moment 12.50 Bohr magnetons per cell. Number 12: size of the total moment 7.92 Bohr magnetons per cell.